(1)
A relaxed LaNi2Ag crystal, computed with PBE.

POSCAR file:
```
LaNi2Ag
1.0
5.381 0.018 0.012
2.400 4.816 -0.012
-3.669 -2.774 2.793
Ag La Ni
1 1 2
Direct
0.511 0.511 0.000 Ag
0.243 0.743 0.500 La
0.973 0.973 0.000 Ni
0.773 0.273 0.500 Ni
```

Results
Size of the total moment   0.0 Bohr magnetons per cell
VASP energy   -19.51 eV per formula unit
Crystal system   orthorhombic
V   72 Å³/cell
Symmetry   No. 44
DFT formation energy   -0.0413 eV per atom

(2)
A relaxed LaNiAg crystal, computed with PBE.

POSCAR file:
```
LaNiAg
1.0
4.510 0.000 0.000
-2.255 3.906 0.000
0.000 0.000 3.810
Ag La Ni
1 1 1
Direct
0.000 0.000 0.834 Ag
0.333 0.667 0.334 La
0.667 0.333 0.832 Ni
```

Results
Size of the total moment   0.0 Bohr magnetons per cell
VASP energy   -14.21 eV per formula unit
Crystal system   trigonal
V   67 Å³/cell
Symmetry   No. 156
DFT formation energy   -0.2156 eV per atom

Which value of V does entry 1 give?
72 Å³/cell

What is the V in the first record?
72 Å³/cell

Among the records above, which one has the lowest DFT formation energy?
LaNiAg